Here is crystalline YNiW2 at its relaxed geometry from Alexandria via LeMat-Bulk. Energies are from PBE.

Lattice parameters (Å, degrees): 3.942 3.985 8.668 90.00 90.00 90.00
Space group Cmmm (No. 65)
Unique sites:
Y: 0.000 0.000 0.000 (multiplicity 2)
Ni: 0.000 0.000 0.500 (multiplicity 2)
W: 0.000 0.500 0.294 (multiplicity 4)

Properties
The calculation puts the energy relative to the lowest polymorph listed for this composition at 219 meV/atom. Its formation energy is 1.75 eV/f.u.

=====

Here is crystalline Y4NiW at its relaxed geometry from Alexandria via LeMat-Bulk. Energies are from PBE.

Lattice parameters (Å, degrees): 8.425 8.425 8.425 90.00 90.00 90.00
Space group F-43m (No. 216)
Unique sites:
Y: 0.124 0.124 0.376 (multiplicity 16)
Ni: 0.000 0.000 0.000 (multiplicity 4)
W: 0.250 0.250 0.750 (multiplicity 4)

Properties
Its formation energy is 6.97 eV/f.u.

=====

Here is crystalline YNiW2 at its relaxed geometry from Alexandria via LeMat-Bulk. Energies are from PBE.

Lattice parameters (Å, degrees): 4.723 4.723 16.959 90.00 90.00 90.00
Space group I-42d (No. 122)
Unique sites:
Y: 0.000 0.000 0.000 (multiplicity 4)
Ni: 0.000 0.000 0.500 (multiplicity 4)
W: 0.021 0.250 0.625 (multiplicity 8)

Properties
The calculation puts the energy relative to the lowest polymorph listed for this composition at 832 meV/atom. Its formation energy is 4.20 eV/f.u.